No. 1
# RbCa2TiF8 | Alexandria | GGA-PBE | optimized geometry
# - Magnetic moment: 0.08 μB/atom
# - N(E_F): 3.0 states/eV/f.u.
data_RbCa2TiF8
_chemical_formula_sum 'Rb1 Ca2 Ti1 F8'
_space_group_name_H-M_alt 'P -1'
_space_group_IT_number 2
_cell_length_a 5.2084
_cell_length_b 5.2720
_cell_length_c 7.3441
_cell_angle_alpha 89.72
_cell_angle_beta 89.75
_cell_angle_gamma 88.81
loop_
_space_group_symop_operation_xyz
'x,y,z'
'-x,-y,-z'
loop_
_atom_site_label
_atom_site_type_symbol
_atom_site_fract_x
_atom_site_fract_y
_atom_site_fract_z
Rb1 Rb 0.0000 0.0000 0.0000
Ca1 Ca 0.5000 0.4999 0.2555
Ti1 Ti 0.0000 0.0000 0.5000
F1 F 0.1780 0.7873 0.6845
F2 F 0.1808 0.7903 0.3162
F3 F 0.2929 0.2671 0.5005
F4 F 0.3847 0.2947 0.0012


No. 2
# TaTiRe2Sb | Alexandria | GGA-PBE | optimized geometry
# - Magnetic moment: 0.00 μB/atom
# - N(E_F): 8.1 states/eV/f.u.
data_TaTiRe2Sb
_chemical_formula_sum 'Ta1 Ti1 Re2 Sb1'
_space_group_name_H-M_alt 'P 4/m m m'
_space_group_IT_number 123
_space_group_name_Hall '-P 4 2'
_cell_length_a 4.8006
_cell_length_b 4.8006
_cell_length_c 4.9164
_cell_angle_alpha 90.00
_cell_angle_beta 90.00
_cell_angle_gamma 90.00
loop_
_atom_site_label
_atom_site_type_symbol
_atom_site_fract_x
_atom_site_fract_y
_atom_site_fract_z
Ta1 Ta 0.0000 0.0000 0.0000
Ti1 Ti 0.5000 0.5000 0.0000
Re1 Re 0.0000 0.5000 0.5000
Sb1 Sb 0.0000 0.0000 0.5000


No. 3
# Si2RhAu | Alexandria | GGA-PBE | optimized geometry
# - Relative energy among the computed polymorphs: 76 meV/atom
# - Magnetic moment: 0.00 μB/atom
# - N(E_F): 1.9 states/eV/f.u.
data_Si2RhAu
_chemical_formula_sum 'Si4 Rh2 Au2'
_space_group_name_H-M_alt 'I m m 2'
_space_group_IT_number 44
_cell_length_a 2.7663
_cell_length_b 3.8269
_cell_length_c 12.0715
_cell_angle_alpha 90.00
_cell_angle_beta 90.00
_cell_angle_gamma 90.00
loop_
_space_group_symop_operation_xyz
'x,y,z'
'-x,-y,z'
'-x,y,z'
'x,-y,z'
'x+1/2,y+1/2,z+1/2'
'-x+1/2,-y+1/2,z+1/2'
'-x+1/2,y+1/2,z+1/2'
'x+1/2,-y+1/2,z+1/2'
loop_
_atom_site_label
_atom_site_type_symbol
_atom_site_fract_x
_atom_site_fract_y
_atom_site_fract_z
Si1 Si 0.0000 0.0000 0.0000
Si2 Si 0.0000 0.5000 0.2261
Rh1 Rh 0.0000 0.0000 0.5576
Au1 Au 0.0000 0.5000 0.8309


No. 4
# AcGaTe2 | Alexandria | GGA-PBE | optimized geometry
# - Relative energy among the computed polymorphs: 90 meV/atom
# - Magnetic moment: 0.00 μB/atom
data_AcGaTe2
_chemical_formula_sum 'Ac3 Ga3 Te6'
_space_group_name_H-M_alt 'R -3 m'
_space_group_IT_number 166
_space_group_name_Hall '-R 3 2"'
_cell_length_a 4.7371
_cell_length_b 4.7371
_cell_length_c 23.0510
_cell_angle_alpha 90.00
_cell_angle_beta 90.00
_cell_angle_gamma 120.00
loop_
_atom_site_label
_atom_site_type_symbol
_atom_site_fract_x
_atom_site_fract_y
_atom_site_fract_z
Ac1 Ac 0.0000 0.0000 0.0000
Ga1 Ga 0.0000 0.0000 0.5000
Te1 Te 0.0000 0.0000 0.2501


E_form (uncorrected) for the records above, in order: -3.48; 2.12; -0.21; -1.00 eV per atom
Final energy for the records above, in order: -5.80; -7.63; -5.58; -4.36 eV per atom